Material: SiPt2W
Method: DFT, PBE
State: relaxed Values from VASP.

The structure in Quantum ESPRESSO input format:
```
&SYSTEM
  ibrav = 0, nat = 4, ntyp = 3
/
ATOMIC_SPECIES
Si 28.09 Si.upf
Pt 195.08 Pt.upf
W 183.84 W.upf
CELL_PARAMETERS angstrom
2.847 0.000 0.000
0.000 4.131 0.000
-1.372 0.000 5.148
ATOMIC_POSITIONS crystal
Si 0.000 0.000 0.000
Pt 0.113 0.500 0.757
Pt 0.887 0.500 0.243
W 0.500 0.000 0.500
```

Properties
The calculation puts the density at 16.516 Mg/m³. The density of states at the Fermi level comes out at 0.452 states/eV per atom. The calculation puts the uncorrected formation energy at -23 kJ per mole of atoms. Its space group is P2/m (10).